No. 1
The following is a DFT calculation (PBE) of an optimized crystal structure of NiAgW2.

Cell and atoms, written as POSCAR:
```
NiAgW2
1.0
-3.2168 -3.5353 1.9379
0.5032 -0.8230 5.0667
-1.0996 3.4798 -3.6446
Ag W Ni
1 2 1
direct
0.4853 0.4853 0.0000
0.0092 0.0092 0.0000
0.7692 0.2692 0.5000
0.2363 0.7363 0.5000
```

Output
Crystal system: orthorhombic
E above lowest polymorph (kcal/mol of atoms): 7.58
Size of the total moment (μB/f.u.): 0.0

No. 2
The following is a DFT calculation (PBE) of an optimized crystal structure of Mg2Zn2Co.

Cell and atoms, written as POSCAR:
```
Mg2Zn2Co
1.0
6.3437 0.0000 0.0000
0.0000 6.3437 0.0000
0.0000 0.0000 4.1822
Co Zn Mg
2 4 4
direct
0.5000 0.5000 0.0000
0.0000 0.0000 0.0000
0.1404 0.3596 0.0000
0.6404 0.1404 0.0000
0.3596 0.8596 0.0000
0.8596 0.6404 0.0000
0.8238 0.3238 0.5000
0.3238 0.1762 0.5000
0.1762 0.6762 0.5000
0.6762 0.8238 0.5000
```

Output
Crystal system: tetragonal
E above lowest polymorph (kcal/mol of atoms): 0.00
Size of the total moment (μB/f.u.): 0.9